1.
DFT (GGA-PBE) results for a geometry-optimized LiU3Se6 structure.

Lattice parameters (Å, degrees): 7.6878 7.6878 7.6878 55.43 55.43 55.43
With the nearest neighbours (Å) after each atom.
Sites, in units of the cell vectors:
Li 0.0000 0.0000 0.0000  6 Se 2.84-2.92
U 0.3058 0.3058 0.3058  6 Se 2.87-2.88
U 0.4939 0.4939 0.4939  6 Se 2.84-2.86
U 0.8097 0.8097 0.8097  6 Se 2.84
Se 0.0876 0.4093 0.7051  1 Li 2.84, 3 U 2.84-2.88
Se 0.2141 0.8943 0.5965  3 U 2.84-2.87, 1 Li 2.92
Se 0.4093 0.7051 0.0876  1 Li 2.84, 3 U 2.84-2.88
Se 0.5965 0.2141 0.8943  3 U 2.84-2.87, 1 Li 2.92
Se 0.7051 0.0876 0.4093  1 Li 2.84, 3 U 2.84-2.88
Se 0.8943 0.5965 0.2141  3 U 2.84-2.87, 1 Li 2.92

Results
Space-group type = R3
N(E_F) = 17.56 states/eV per cell
Total magnetization = 7.000 μB/f.u.
Offset from the most stable computed form = 0.063 eV per atom
Energy relative to the elements, uncorrected = -1.101 eV per atom
Calculated volume = 287.2 Å³ per cell

2.
DFT (GGA-PBE) results for a geometry-optimized Li8USe6 structure.

Lattice parameters (Å, degrees): 7.9196 7.9196 7.9196 54.14 54.14 54.14
With the nearest neighbours (Å) after each atom.
Sites, in units of the cell vectors:
Li 0.0290 0.7183 0.3841  4 Se 2.53-2.63
Li 0.1636 0.1636 0.1636  6 Se 2.87-2.98
Li 0.2817 0.6159 0.9710  4 Se 2.53-2.63
Li 0.3841 0.0290 0.7183  4 Se 2.53-2.63
Li 0.6159 0.9710 0.2817  4 Se 2.53-2.63
Li 0.7183 0.3841 0.0290  4 Se 2.53-2.63
Li 0.8364 0.8364 0.8364  6 Se 2.87-2.98
Li 0.9710 0.2817 0.6159  4 Se 2.53-2.63
U 0.5000 0.5000 0.5000  6 Se 2.85
Se 0.0975 0.4147 0.7466  4 Li 2.53-2.63
Se 0.2534 0.9025 0.5853  4 Li 2.53-2.63
Se 0.4147 0.7466 0.0975  4 Li 2.53-2.63
Se 0.5853 0.2534 0.9025  4 Li 2.53-2.63
Se 0.7466 0.0975 0.4147  4 Li 2.53-2.63
Se 0.9025 0.5853 0.2534  4 Li 2.53-2.63

Results
Space-group type = R-3
N(E_F) = 7.40 states/eV per cell
Total magnetization = 2.000 μB/f.u.
Energy relative to the elements, uncorrected = -1.230 eV per atom
Calculated volume = 303.2 Å³ per cell

3.
DFT (GGA-PBE) results for a geometry-optimized Li3USe3 structure.

Lattice parameters (Å, degrees): 8.0461 8.0461 8.0461 54.25 54.25 54.25
With the nearest neighbours (Å) after each atom.
Sites, in units of the cell vectors:
Li 0.1290 0.8121 0.4246  4 Se 2.55-2.63
Li 0.1879 0.5754 0.8710  4 Se 2.55-2.63
Li 0.4246 0.1290 0.8121  4 Se 2.55-2.63
Li 0.5754 0.8710 0.1879  4 Se 2.55-2.63
Li 0.8121 0.4246 0.1290  4 Se 2.55-2.63
Li 0.8710 0.1879 0.5754  4 Se 2.55-2.63
U 0.3337 0.3337 0.3337  6 Se 2.91-2.93
U 0.6663 0.6663 0.6663  6 Se 2.91-2.93
Se 0.0802 0.4417 0.7286  4 Li 2.55-2.63
Se 0.2714 0.9198 0.5583  4 Li 2.55-2.63
Se 0.4417 0.7286 0.0802  4 Li 2.55-2.63
Se 0.5583 0.2714 0.9198  4 Li 2.55-2.63
Se 0.7286 0.0802 0.4417  4 Li 2.55-2.63
Se 0.9198 0.5583 0.2714  4 Li 2.55-2.63

Results
Space-group type = R-3
N(E_F) = 7.23 states/eV per cell
Total magnetization = 3.000 μB/f.u.
Energy relative to the elements, uncorrected = -1.169 eV per atom
Calculated volume = 318.9 Å³ per cell

Q: Among the records above, which one has the lowest N(E_F)?
A: Li3USe3

Q: The lowest N(E_F) belongs to which entry?
A: Li3USe3

Repeat the second record exactly.
DFT (GGA-PBE) results for a geometry-optimized Li8USe6 structure.

Lattice parameters (Å, degrees): 7.9196 7.9196 7.9196 54.14 54.14 54.14
With the nearest neighbours (Å) after each atom.
Sites, in units of the cell vectors:
Li 0.0290 0.7183 0.3841  4 Se 2.53-2.63
Li 0.1636 0.1636 0.1636  6 Se 2.87-2.98
Li 0.2817 0.6159 0.9710  4 Se 2.53-2.63
Li 0.3841 0.0290 0.7183  4 Se 2.53-2.63
Li 0.6159 0.9710 0.2817  4 Se 2.53-2.63
Li 0.7183 0.3841 0.0290  4 Se 2.53-2.63
Li 0.8364 0.8364 0.8364  6 Se 2.87-2.98
Li 0.9710 0.2817 0.6159  4 Se 2.53-2.63
U 0.5000 0.5000 0.5000  6 Se 2.85
Se 0.0975 0.4147 0.7466  4 Li 2.53-2.63
Se 0.2534 0.9025 0.5853  4 Li 2.53-2.63
Se 0.4147 0.7466 0.0975  4 Li 2.53-2.63
Se 0.5853 0.2534 0.9025  4 Li 2.53-2.63
Se 0.7466 0.0975 0.4147  4 Li 2.53-2.63
Se 0.9025 0.5853 0.2534  4 Li 2.53-2.63

Results
Space-group type = R-3
N(E_F) = 7.40 states/eV per cell
Total magnetization = 2.000 μB/f.u.
Energy relative to the elements, uncorrected = -1.230 eV per atom
Calculated volume = 303.2 Å³ per cell